Computed, not measured: a relaxed structure of CoGeAsPt at the PBE-GGA level of DFT.

POSCAR file:
```
CoGeAsPt
1.0
2.7852 0.0000 0.0000
0.0000 3.6774 0.0000
0.0000 0.0000 11.9683
Pt As Co Ge
2 2 2 2
direct
0.0000 0.5000 0.7447
0.5000 0.0000 0.2447
0.0000 0.0000 0.9072
0.5000 0.5000 0.4072
0.5000 0.5000 0.9661
0.0000 0.0000 0.4661
0.5000 0.0000 0.6338
0.0000 0.5000 0.1338
```

**Formation enthalpy at 0 K**: -0.159 eV per atom
**Space-group type**: Imm2, No. 44
**Total energy**: -5.7628 eV per atom
**Energy relative to the lowest polymorph listed for this composition**: 156 meV per atom